# 1
A plane-wave DFT calculation with GGA-PBE was carried out for a relaxed Rb3Nd2ScSe6 crystal.

Total DFT energy (no corrections) in eV/atom: -4.98
Crystal system: monoclinic
Formation energy from raw total energies in eV/atom: -1.67
DOS at the Fermi energy in states/eV/f.u.: 0.0

Unit cell a=7.3992 b=12.8199 c=8.3696 alpha=90.00 beta=107.18 gamma=90.00
With the nearest neighbours (Å) after each atom.
Space group C2/m (No. 12)
Symmetry-distinct sites (fractional):
Rb 0.0000 0.0000 0.0000 (multiplicity 2)  6 Se 3.42-3.57
Rb 0.0000 0.3300 0.0000 (multiplicity 4)  6 Se 3.42-3.54
Nd 0.0000 0.1663 0.5000 (multiplicity 4)  6 Se 2.98
Sc 0.0000 0.5000 0.5000 (multiplicity 2)  6 Se 2.80
Se 0.2223 0.3428 0.6953 (multiplicity 8)  1 Sc 2.80, 2 Nd 2.98
Se 0.2485 0.5000 0.3037 (multiplicity 4)  1 Sc 2.80, 2 Nd 2.98

***

# 2
A plane-wave DFT calculation with GGA-PBE was carried out for a relaxed Rb3NdSc2Te6 crystal.

Total DFT energy (no corrections) in eV/atom: -4.55
Crystal system: monoclinic
Formation energy from raw total energies in eV/atom: -1.28

Unit cell a=7.7046 b=13.3457 c=8.9055 alpha=90.00 beta=106.84 gamma=90.00
With the nearest neighbours (Å) after each atom.
Space group C2/m (No. 12)
Symmetry-distinct sites (fractional):
Rb 0.0000 0.0000 0.0000 (multiplicity 2)  6 Te 3.57-3.71
Rb 0.0000 0.3389 0.0000 (multiplicity 4)  6 Te 3.60-3.72
Nd 0.0000 0.5000 0.5000 (multiplicity 2)  6 Te 3.17-3.18
Sc 0.0000 0.1674 0.5000 (multiplicity 4)  6 Te 2.99-3.00
Te 0.2120 0.0000 0.6927 (multiplicity 4)  2 Sc 3.00, 1 Nd 3.17
Te 0.2412 0.3239 0.6948 (multiplicity 8)  2 Sc 2.99-3.00, 1 Nd 3.18

***

# 3
A plane-wave DFT calculation with GGA-PBE was carried out for a relaxed RbNd3Se4 crystal.

Total DFT energy (no corrections) in eV/atom: -5.43
Crystal system: hexagonal
Formation energy from raw total energies in eV/atom: -1.78
DOS at the Fermi energy in states/eV/f.u.: 3.3

Unit cell a=4.2998 b=4.2998 c=29.8071 alpha=90.00 beta=90.00 gamma=120.00
With the nearest neighbours (Å) after each atom.
Space group P6_3/mmc (No. 194)
Symmetry-distinct sites (fractional):
Rb 0.3333 0.6667 0.2500 (multiplicity 2)  6 Se 3.46
Nd 0.0000 0.0000 0.0000 (multiplicity 2)  6 Se 3.02
Nd 0.3333 0.6667 0.6144 (multiplicity 4)  6 Se 2.97-3.01
Se 0.0000 0.0000 0.1692 (multiplicity 4)  3 Nd 2.97
Se 0.3333 0.6667 0.0574 (multiplicity 4)  6 Nd 3.01-3.02

***

# 4
A plane-wave DFT calculation with GGA-PBE was carried out for a relaxed RbNdSe2 crystal.

Total DFT energy (no corrections) in eV/atom: -4.91
Crystal system: trigonal
Formation energy from raw total energies in eV/atom: -1.73
DOS at the Fermi energy in states/eV/f.u.: 0.0

Unit cell a=4.3809 b=4.3809 c=24.0656 alpha=90.00 beta=90.00 gamma=120.00
With the nearest neighbours (Å) after each atom.
Space group R-3m (No. 166, hexagonal axes)
Symmetry-distinct sites (fractional):
Rb 0.0000 0.0000 0.0000 (multiplicity 3)  6 Se 3.49
Nd 0.0000 0.0000 0.5000 (multiplicity 3)  6 Se 3.00
Se 0.0000 0.0000 0.2336 (multiplicity 6)  3 Nd 3.00

***

# 5
A plane-wave DFT calculation with GGA-PBE was carried out for a relaxed RbNd6Se8 crystal.

Total DFT energy (no corrections) in eV/atom: -5.56
Crystal system: trigonal
Formation energy from raw total energies in eV/atom: -1.73
DOS at the Fermi energy in states/eV/f.u.: 11.0

Unit cell a=11.4593 b=11.4593 c=4.3127 alpha=90.00 beta=90.00 gamma=120.00
With the nearest neighbours (Å) after each atom.
Space group P-3 (No. 147)
Symmetry-distinct sites (fractional):
Rb 0.0000 0.0000 0.0000 (multiplicity 1)  6 Se 4.03, 2 Rb 4.31
Nd 0.1383 0.4799 0.2508 (multiplicity 6)  6 Se 2.95-3.07
Se 0.0461 0.6867 0.2485 (multiplicity 6)  4 Nd 2.95-3.04
Se 0.3333 0.6667 0.7509 (multiplicity 2)  6 Nd 3.07

***

# 6
A plane-wave DFT calculation with GGA-PBE was carried out for a relaxed RbNdSe4 crystal.

Total DFT energy (no corrections) in eV/atom: -4.45
Crystal system: tetragonal
Formation energy from raw total energies in eV/atom: -1.17

Unit cell a=6.4139 b=6.4139 c=8.7951 alpha=90.00 beta=90.00 gamma=90.00
With the nearest neighbours (Å) after each atom.
Space group P4/nbm (No. 125, origin choice 2)
Symmetry-distinct sites (fractional):
Rb 0.2500 0.2500 0.0000 (multiplicity 2)  8 Se 3.61
Nd 0.2500 0.2500 0.5000 (multiplicity 2)  8 Se 3.08
Se 0.1159 0.6159 0.2961 (multiplicity 8)  1 Se 2.43

***

Which value of formation energy from raw total energies does entry 3 give?
-1.78 eV/atom